Density functional theory data (PBE) for crystalline TbSm2ZnS5 at its relaxed geometry.

Cell lengths 8.6557, 8.6557, 11.9079 Å; angles 90.00, 90.00, 154.32 degrees
With the nearest neighbours (Å) after each atom.
Fractional positions:
1 Tb 0.1967 0.8033 0.5000  6 S 2.70-2.75
2 Tb 0.8033 0.1967 0.0000  6 S 2.70-2.75
3 Sm 0.1145 0.8855 0.1686  8 S 2.92-3.01
4 Sm 0.1316 0.8684 0.8038  7 S 2.87-3.17
5 Sm 0.8684 0.1316 0.3038  7 S 2.87-3.17
6 Sm 0.8855 0.1145 0.6686  8 S 2.92-3.01
7 Zn 0.4556 0.5444 0.9302  3 S 2.27-2.31
8 Zn 0.5444 0.4556 0.4302  3 S 2.27-2.31
9 S 0.0375 0.9625 0.5366  2 Zn 2.31
10 S 0.2911 0.7089 0.1629  2 Tb 2.74, 3 Sm 2.87-2.98
11 S 0.3183 0.6817 0.8362  1 Zn 2.57, 2 Tb 2.75
12 S 0.3568 0.6432 0.4890  1 Tb 2.70, 4 Sm 2.92-2.93
13 S 0.4922 0.5078 0.2548  1 Zn 2.27
14 S 0.5078 0.4922 0.7548  1 Zn 2.27
15 S 0.6432 0.3568 0.9890  1 Tb 2.70, 4 Sm 2.92-2.93
16 S 0.6817 0.3183 0.3362  1 Zn 2.57, 2 Tb 2.75
17 S 0.7089 0.2911 0.6629  2 Tb 2.74, 3 Sm 2.87-2.98
18 S 0.9625 0.0375 0.0366  2 Zn 2.31

E_tot = -5.729 eV per atom
space-group type = Cmc2_1
theoretical density = 5.9 g cm⁻³
formation energy without anion corrections = -15.58 eV per formula unit